# TaMn4Ge

A relaxed structure of TaMn4Ge (PBE, Alexandria via LeMat-Bulk).

a = 4.7677 Å, b = 4.7677 Å, c = 4.7677 Å
α = 60.00°, β = 60.00°, γ = 60.00°
Last column: nearest neighbours and their distance in Å.
Atoms (fractional coordinates):
Ta1 0.0000 0.0000 0.0000  12 Mn 2.80, 4 Ge 2.92
Mn1 0.3760 0.3760 0.3760  6 Mn 2.37-2.40
Mn2 0.3760 0.3760 0.8720  6 Mn 2.37-2.40
Mn3 0.3760 0.8720 0.3760  6 Mn 2.37-2.40
Mn4 0.8720 0.3760 0.3760  6 Mn 2.37-2.40
Ge1 0.7500 0.7500 0.7500  12 Mn 2.79, 4 Ta 2.92

Values from the calculation:
symmetry: No. 216
energy of formation: -28 meV per atom
energy: -8.89 eV/atom


# Na2PaTe4Pb

A relaxed structure of Na2PaTe4Pb (PBE, Alexandria via LeMat-Bulk).

a = 7.8987 Å, b = 4.5316 Å, c = 7.9958 Å
α = 90.00°, β = 108.82°, γ = 90.00°
Last column: nearest neighbours and their distance in Å.
Atoms (fractional coordinates):
Na1 0.0000 0.0000 0.0000  6 Te 3.35-3.39
Na2 0.0000 0.5000 0.5000  6 Te 3.23
Pa1 0.5000 0.0000 0.5000  6 Te 3.07-3.13
Te1 0.2614 0.0000 0.7364  1 Pa 3.07, 3 Na 3.23-3.39, 2 Pb 3.25
Te2 0.2661 0.5000 0.2667  2 Pa 3.13, 3 Na 3.23-3.35, 1 Pb 3.24
Te3 0.7339 0.5000 0.7333  2 Pa 3.13, 3 Na 3.23-3.35, 1 Pb 3.24
Te4 0.7386 0.0000 0.2636  1 Pa 3.07, 3 Na 3.23-3.39, 2 Pb 3.25
Pb1 0.5000 0.5000 0.0000  6 Te 3.24-3.25

Values from the calculation:
symmetry: No. 10
energy relative to the elements, uncorrected: -0.80 eV/atom
energy: -4.35 eV/atom


# Ca3BeSb

A relaxed structure of Ca3BeSb (PBE, Alexandria via LeMat-Bulk).

a = 5.3498 Å, b = 5.3498 Å, c = 5.3498 Å
α = 90.00°, β = 90.00°, γ = 90.00°
Last column: nearest neighbours and their distance in Å.
Atoms (fractional coordinates):
Ca1 0.0000 0.0000 0.5000  2 Be 2.67
Ca2 0.0000 0.5000 0.0000  2 Be 2.67
Ca3 0.5000 0.0000 0.0000  2 Be 2.67
Be1 0.0000 0.0000 0.0000  6 Ca 2.67
Sb1 0.5000 0.5000 0.5000  12 Ca 3.78

Values from the calculation:
symmetry: No. 221
relative energy among the computed polymorphs: 0 meV per atom
energy relative to the elements, uncorrected: -0.04 eV/atom
energy: -2.81 eV/atom


# K2NaGaPd

A relaxed structure of K2NaGaPd (PBE, Alexandria via LeMat-Bulk).

a = 6.2915 Å, b = 6.2915 Å, c = 4.8996 Å
α = 90.00°, β = 90.00°, γ = 90.00°
Last column: nearest neighbours and their distance in Å.
Atoms (fractional coordinates):
K1 0.0000 0.5000 0.0000  2 Pd 3.15
K2 0.5000 0.0000 0.0000  2 Pd 3.15
Na1 0.0000 0.0000 0.5000  8 K 3.99, 4 Ga 4.45
Ga1 0.5000 0.5000 0.5000  2 Pd 2.45
Pd1 0.5000 0.5000 0.0000  2 Ga 2.45

Values from the calculation:
symmetry: No. 123
energy of formation: -24 meV per atom
energy: -2.37 eV/atom


# CdPdS2N

A relaxed structure of CdPdS2N (PBE, Alexandria via LeMat-Bulk).

a = 4.9813 Å, b = 4.9813 Å, c = 4.0191 Å
α = 90.00°, β = 90.00°, γ = 90.00°
Last column: nearest neighbours and their distance in Å.
Atoms (fractional coordinates):
Cd1 0.0000 0.0000 0.0000  2 N 2.01
Pd1 0.5000 0.5000 0.5000  8 S 3.20, 4 N 3.52
S1 0.0000 0.5000 0.0000  2 Cd 2.49
S2 0.5000 0.0000 0.0000  2 Cd 2.49
N1 0.0000 0.0000 0.5000  2 Cd 2.01

Values from the calculation:
symmetry: No. 123
relative energy among the computed polymorphs: 767 meV per atom
energy relative to the elements, uncorrected: 1.43 eV/atom
energy: -3.11 eV/atom


# RbFePb3

A relaxed structure of RbFePb3 (PBE, Alexandria via LeMat-Bulk).

a = 5.3701 Å, b = 5.3701 Å, c = 5.3701 Å
α = 90.00°, β = 90.00°, γ = 90.00°
Last column: nearest neighbours and their distance in Å.
Atoms (fractional coordinates):
Rb1 0.0000 0.0000 0.0000  12 Pb 3.80
Fe1 0.5000 0.5000 0.5000  6 Pb 2.69
Pb1 0.0000 0.5000 0.5000  2 Fe 2.69
Pb2 0.5000 0.0000 0.5000  2 Fe 2.69
Pb3 0.5000 0.5000 0.0000  2 Fe 2.69

Values from the calculation:
symmetry: No. 221
energy of formation: 180 meV per atom
relative energy among the computed polymorphs: 0 meV per atom
energy: -3.93 eV/atom


# CsTc2Cl

A relaxed structure of CsTc2Cl (PBE, Alexandria via LeMat-Bulk).

a = 4.7228 Å, b = 4.7228 Å, c = 4.7228 Å
α = 60.00°, β = 60.00°, γ = 60.00°
Last column: nearest neighbours and their distance in Å.
Atoms (fractional coordinates):
Cs1 0.0000 0.0000 0.0000  8 Tc 2.89
Tc1 0.2500 0.2500 0.2500  4 Cl 2.89, 4 Cs 2.89
Tc2 0.7500 0.7500 0.7500  4 Cl 2.89, 4 Cs 2.89
Cl1 0.5000 0.5000 0.5000  8 Tc 2.89

Values from the calculation:
symmetry: No. 225
energy relative to the elements, uncorrected: 1.99 eV/atom
energy: -3.86 eV/atom


# Cu7PS6

A relaxed structure of Cu7PS6 (PBE, Alexandria via LeMat-Bulk).

a = 9.6728 Å, b = 9.6728 Å, c = 9.6728 Å
α = 90.00°, β = 90.00°, γ = 90.00°
Last column: nearest neighbours and their distance in Å.
Atoms (fractional coordinates):
Cu1 0.0015 0.0169 0.7761  3 S 2.27-2.30
Cu2 0.0169 0.7761 0.0015  3 S 2.27-2.30
Cu3 0.0740 0.4055 0.2638  4 S 2.31-2.54
Cu4 0.0945 0.7362 0.5740  4 S 2.31-2.54
Cu5 0.1420 0.1420 0.1420  2 S 2.15-2.19
Cu6 0.2239 0.5015 0.4831  3 S 2.27-2.30
Cu7 0.2362 0.9260 0.9055  4 S 2.31-2.54
Cu8 0.2638 0.0740 0.4055  4 S 2.31-2.54
Cu9 0.2761 0.4985 0.9831  3 S 2.27-2.30
Cu10 0.3580 0.8580 0.6420  2 S 2.15-2.19
Cu11 0.4055 0.2638 0.0740  4 S 2.31-2.54
Cu12 0.4260 0.5945 0.7638  4 S 2.31-2.54
Cu13 0.4831 0.2239 0.5015  3 S 2.27-2.30
Cu14 0.4985 0.9831 0.2761  3 S 2.27-2.30
Cu15 0.5015 0.4831 0.2239  3 S 2.27-2.30
Cu16 0.5169 0.7239 0.9985  3 S 2.27-2.30
Cu17 0.5740 0.0945 0.7362  4 S 2.31-2.54
Cu18 0.5945 0.7638 0.4260  4 S 2.31-2.54
Cu19 0.6420 0.3580 0.8580  2 S 2.15-2.19
Cu20 0.7239 0.9985 0.5169  3 S 2.27-2.30
Cu21 0.7362 0.5740 0.0945  4 S 2.31-2.54
Cu22 0.7638 0.4260 0.5945  4 S 2.31-2.54
Cu23 0.7761 0.0015 0.0169  3 S 2.27-2.30
Cu24 0.8580 0.6420 0.3580  2 S 2.15-2.19
Cu25 0.9055 0.2362 0.9260  4 S 2.31-2.54
Cu26 0.9260 0.9055 0.2362  4 S 2.31-2.54
Cu27 0.9831 0.2761 0.4985  3 S 2.27-2.30
Cu28 0.9985 0.5169 0.7239  3 S 2.27-2.30
P1 0.2448 0.2552 0.7448  4 S 2.07-2.08
P2 0.2552 0.7448 0.2448  4 S 2.07-2.08
P3 0.7448 0.2448 0.2552  4 S 2.07-2.08
P4 0.7552 0.7552 0.7552  4 S 2.07-2.08
S1 0.0112 0.0112 0.0112  4 Cu 2.19-2.28
S2 0.1126 0.3704 0.8675  1 P 2.07, 2 Cu 2.27-2.30
S3 0.1296 0.1325 0.6126  1 P 2.07, 2 Cu 2.27-2.30
S4 0.1308 0.8692 0.3692  1 P 2.08
S5 0.1325 0.6126 0.1296  1 P 2.07, 2 Cu 2.27-2.30
S6 0.2296 0.7296 0.7704  4 Cu 2.15-2.31
S7 0.2704 0.2704 0.2704  4 Cu 2.15-2.31
S8 0.3675 0.3874 0.6296  1 P 2.07, 2 Cu 2.27-2.30
S9 0.3692 0.1308 0.8692  1 P 2.08
S10 0.3704 0.8675 0.1126  1 P 2.07, 2 Cu 2.27-2.30
S11 0.3874 0.6296 0.3675  1 P 2.07, 2 Cu 2.27-2.30
S12 0.4888 0.9888 0.5112  4 Cu 2.19-2.28
S13 0.5112 0.4888 0.9888  4 Cu 2.19-2.28
S14 0.6126 0.1296 0.1325  1 P 2.07, 2 Cu 2.27-2.30
S15 0.6296 0.3675 0.3874  1 P 2.07, 2 Cu 2.27-2.30
S16 0.6308 0.6308 0.6308  1 P 2.08
S17 0.6325 0.8874 0.8704  1 P 2.07, 2 Cu 2.27-2.30
S18 0.7296 0.7704 0.2296  4 Cu 2.15-2.31
S19 0.7704 0.2296 0.7296  4 Cu 2.15-2.31
S20 0.8675 0.1126 0.3704  1 P 2.07, 2 Cu 2.27-2.30
S21 0.8692 0.3692 0.1308  1 P 2.08
S22 0.8704 0.6325 0.8874  1 P 2.07, 2 Cu 2.27-2.30
S23 0.8874 0.8704 0.6325  1 P 2.07, 2 Cu 2.27-2.30
S24 0.9888 0.5112 0.4888  4 Cu 2.19-2.28

Values from the calculation:
symmetry: No. 198
energy relative to the elements, uncorrected: -0.18 eV/atom
energy: -4.38 eV/atom


# Pr7Ag4Hg

A relaxed structure of Pr7Ag4Hg (PBE, Alexandria via LeMat-Bulk).

a = 8.0004 Å, b = 8.0004 Å, c = 9.5036 Å
α = 118.91°, β = 118.91°, γ = 42.72°
Last column: nearest neighbours and their distance in Å.
Atoms (fractional coordinates):
Pr1 0.0000 0.0000 0.0000  2 Hg 2.91, 4 Ag 3.01-3.20
Pr2 0.2240 0.2240 0.6897  4 Ag 2.97-3.27
Pr3 0.3122 0.3122 0.1065  6 Pr 3.42-3.69, 1 Hg 3.43, 3 Ag 3.57-3.67
Pr4 0.4271 0.4271 0.5969  3 Ag 3.09-3.16, 1 Hg 3.40, 1 Pr 3.42
Pr5 0.5729 0.5729 0.4031  3 Ag 3.09-3.16, 1 Hg 3.40, 1 Pr 3.42
Pr6 0.6878 0.6878 0.8935  6 Pr 3.42-3.69, 1 Hg 3.43, 3 Ag 3.57-3.67
Pr7 0.7760 0.7760 0.3103  4 Ag 2.97-3.27
Ag1 0.0219 0.0219 0.6822  4 Pr 2.97-3.20, 2 Ag 3.02-3.17
Ag2 0.1886 0.1886 0.3437  5 Pr 3.01-3.27, 1 Ag 3.02
Ag3 0.8114 0.8114 0.6563  5 Pr 3.01-3.27, 1 Ag 3.02
Ag4 0.9781 0.9781 0.3178  4 Pr 2.97-3.20, 2 Ag 3.02-3.17
Hg1 0.5000 0.5000 0.0000  2 Pr 2.91

Values from the calculation:
symmetry: No. 12
energy of formation: -100 meV per atom
energy: -3.86 eV/atom


# ErAl4Ag6

A relaxed structure of ErAl4Ag6 (PBE, Alexandria via LeMat-Bulk).

a = 7.4270 Å, b = 7.4270 Å, c = 4.2693 Å
α = 90.00°, β = 90.00°, γ = 120.00°
Last column: nearest neighbours and their distance in Å.
Atoms (fractional coordinates):
Er1 0.0000 0.0000 0.0000  6 Al 3.33, 6 Ag 3.35
Al1 0.3333 0.6667 0.0000  9 Ag 2.60-2.73
Al2 0.3965 0.1983 0.5000  6 Ag 2.57-2.74
Al3 0.8017 0.1983 0.5000  6 Ag 2.57-2.74
Al4 0.8017 0.6035 0.5000  6 Ag 2.57-2.74
Ag1 0.2007 0.4014 0.5000  4 Al 2.57-2.73
Ag2 0.2007 0.7993 0.5000  4 Al 2.57-2.73
Ag3 0.5356 0.0711 0.0000  5 Al 2.60-2.74
Ag4 0.5356 0.4644 0.0000  5 Al 2.60-2.74
Ag5 0.5986 0.7993 0.5000  4 Al 2.57-2.73
Ag6 0.9289 0.4644 0.0000  5 Al 2.60-2.74

Values from the calculation:
symmetry: No. 187
energy of formation: -148 meV per atom
relative energy among the computed polymorphs: 0 meV per atom
energy: -3.48 eV/atom


# Na3NiRh2Se6

A relaxed structure of Na3NiRh2Se6 (PBE, Alexandria via LeMat-Bulk).

a = 6.5664 Å, b = 6.5664 Å, c = 7.0076 Å
α = 99.01°, β = 99.01°, γ = 120.04°
Last column: nearest neighbours and their distance in Å.
Atoms (fractional coordinates):
Na1 0.0000 0.0000 0.0000  6 Se 3.01-3.04
Na2 0.3316 0.6684 0.0000  6 Se 3.01-3.03
Na3 0.6684 0.3316 0.0000  6 Se 3.01-3.03
Ni1 0.5000 0.5000 0.5000  6 Se 2.49-2.50
Rh1 0.1665 0.8335 0.5000  6 Se 2.53
Rh2 0.8335 0.1665 0.5000  6 Se 2.53
Se1 0.1082 0.4375 0.3125  1 Ni 2.50, 2 Rh 2.53
Se2 0.2337 0.2337 0.6871  1 Ni 2.49, 2 Rh 2.53
Se3 0.4375 0.1082 0.3125  1 Ni 2.50, 2 Rh 2.53
Se4 0.5625 0.8918 0.6875  1 Ni 2.50, 2 Rh 2.53
Se5 0.7663 0.7663 0.3129  1 Ni 2.49, 2 Rh 2.53
Se6 0.8918 0.5625 0.6875  1 Ni 2.50, 2 Rh 2.53

Values from the calculation:
symmetry: No. 12
energy relative to the elements, uncorrected: -0.62 eV/atom
energy: -4.40 eV/atom


# Ba6HgRh2Br3

A relaxed structure of Ba6HgRh2Br3 (PBE, Alexandria via LeMat-Bulk).

a = 10.9363 Å, b = 10.9363 Å, c = 9.9986 Å
α = 108.46°, β = 108.46°, γ = 24.18°
Last column: nearest neighbours and their distance in Å.
Atoms (fractional coordinates):
Ba1 0.0150 0.0150 0.2580  1 Rh 2.99
Ba2 0.3221 0.3221 0.4433  3 Rh 3.20-3.24
Ba3 0.3321 0.3321 0.8858  2 Rh 3.14, 1 Br 3.40, 1 Hg 3.40
Ba4 0.6679 0.6679 0.1142  2 Rh 3.14, 1 Br 3.40, 1 Hg 3.40
Ba5 0.6779 0.6779 0.5567  3 Rh 3.20-3.24
Ba6 0.9850 0.9850 0.7420  1 Rh 2.99
Hg1 0.5000 0.5000 0.0000  6 Ba 3.39-3.40
Rh1 0.1619 0.1619 0.3250  6 Ba 2.99-3.24
Rh2 0.8381 0.8381 0.6750  6 Ba 2.99-3.24
Br1 0.1665 0.1665 0.8264  6 Ba 3.40-3.70
Br2 0.5000 0.5000 0.5000  6 Ba 3.42-3.66
Br3 0.8335 0.8335 0.1736  6 Ba 3.40-3.70

Values from the calculation:
symmetry: No. 12
energy relative to the elements, uncorrected: -0.96 eV/atom
energy: -3.59 eV/atom